1.
Here is a relaxed La2MgSb3Ir4 crystal from Alexandria. Energies are from PBE-GGA.

a = 4.360 Å, b = 4.360 Å, c = 11.359 Å
α = 90.00°, β = 90.00°, γ = 90.00°
Positions (direct):
La1 0.500 0.000 0.254
La2 0.000 0.500 0.746
Mg1 0.500 0.500 0.500
Sb1 0.000 0.000 0.500
Sb2 0.500 0.000 0.866
Sb3 0.000 0.500 0.134
Ir1 0.500 0.500 0.000
Ir2 0.000 0.000 0.000
Ir3 0.500 0.000 0.639
Ir4 0.000 0.500 0.361

Calculated values
VASP energy	-6.599	eV/atom
M_tot	0.000	μB/f.u.
E_form (uncorrected)	-0.6726	eV/atom

2.
Here is a relaxed Li4BeRu crystal from Alexandria. Energies are from PBE-GGA.

a = 4.692 Å, b = 4.692 Å, c = 4.692 Å
α = 60.00°, β = 60.00°, γ = 60.00°
Positions (direct):
Li1 0.873 0.376 0.376
Li2 0.376 0.376 0.873
Li3 0.376 0.873 0.376
Li4 0.376 0.376 0.376
Be1 0.000 0.000 0.000
Ru1 0.750 0.750 0.750

Calculated values
formation energy	0.375	eV per atom
VASP energy	-3.068	eV/atom
M_tot	0.000	μB/f.u.

3.
Here is a relaxed CaAc3Pd8 crystal from Alexandria. Energies are from PBE-GGA.

a = 5.635 Å, b = 5.635 Å, c = 9.755 Å
α = 73.21°, β = 73.21°, γ = 60.00°
Positions (direct):
Ca1 0.872 0.872 0.384
Ac1 0.377 0.377 0.870
Ac2 0.995 0.995 0.014
Ac3 0.504 0.504 0.487
Pd1 0.939 0.437 0.188
Pd2 0.438 0.938 0.686
Pd3 0.437 0.437 0.188
Pd4 0.938 0.938 0.686
Pd5 0.188 0.188 0.436
Pd6 0.688 0.688 0.937
Pd7 0.437 0.939 0.188
Pd8 0.938 0.438 0.686

Calculated values
formation energy	-0.757	eV per atom
VASP energy	-5.413	eV/atom
M_tot	0.000	μB/f.u.